LiFeSi3O8 | Alexandria | PBE+U | relaxed; polymorph energy (0 for the lowest one) = 142.9 meV/atom; symmetry = No. 2
1.0
-5.4861 -4.1796 -3.7846
4.8427 -1.4098 -6.3896
1.5333 -3.4001 6.9078
Li Fe Si O
2 2 6 16
Direct
0.4154 0.9931 0.3287
0.5846 0.0069 0.6713
0.9697 0.4279 0.6312
0.0303 0.5721 0.3688
0.7249 0.6136 0.9564
0.8324 0.9530 0.3831
0.6820 0.3435 0.1259
0.3180 0.6565 0.8741
0.1676 0.0470 0.6169
0.2751 0.3864 0.0436
0.8222 0.5305 0.7849
0.6687 0.1322 0.9533
0.2161 0.4901 0.8974
0.1589 0.5865 0.6374
0.4938 0.4281 0.1626
0.9946 0.1497 0.5113
0.3313 0.0106 0.5381
0.2016 0.1596 0.8667
0.7984 0.8404 0.1333
0.6687 0.9894 0.4619
0.0054 0.8503 0.4887
0.5062 0.5719 0.8374
0.8411 0.4135 0.3626
0.7839 0.5099 0.1026
0.3313 0.8678 0.0467
0.1778 0.4695 0.2151